a) First-principles (GGA-PBE) data for a relaxed NaAlIr crystal, as listed in the Open Quantum Materials Database.

Cell: 4.295 4.295 4.295 Å, 60.00 60.00 60.00°
Fractional coordinates of all 3 atoms:
Na  0.000  0.000  0.000
Al  0.750  0.750  0.750
Ir  0.250  0.250  0.250

Properties
Space group: No. 216
Density: 7.176 g cm⁻³

b) First-principles (GGA-PBE) data for a relaxed NaAlIr crystal, as listed in the Open Quantum Materials Database.

Cell: 4.320 4.320 4.320 Å, 60.00 60.00 60.00°
Fractional coordinates of all 3 atoms:
Na  0.000  0.000  0.000
Al  0.500  0.500  0.500
Ir  0.750  0.750  0.750

Properties
Space group: No. 216
Density: 7.055 g cm⁻³

Which structure loses on stability? a) does.

a) First-principles (GGA-PBE) data for a relaxed NaNbAlIr crystal, as listed in the Open Quantum Materials Database.

Cell: 4.535 4.535 4.535 Å, 60.00 60.00 60.00°
Fractional coordinates of all 4 atoms:
Na  0.000  0.000  0.000
Nb  0.500  0.500  0.500
Al  0.250  0.250  0.250
Ir  0.750  0.750  0.750

Properties
Space group: No. 216
Density: 8.440 g cm⁻³

b) First-principles (GGA-PBE) data for a relaxed NaNbAlIr crystal, as listed in the Open Quantum Materials Database.

Cell: 4.482 4.482 4.482 Å, 60.00 60.00 60.00°
Fractional coordinates of all 4 atoms:
Na  0.000  0.000  0.000
Nb  0.250  0.250  0.250
Al  0.750  0.750  0.750
Ir  0.500  0.500  0.500

Properties
Space group: No. 216
Density: 8.743 g cm⁻³

Which structure loses on stability? a) does.

a) First-principles (GGA-PBE) data for a relaxed NaAlSbIr crystal, as listed in the Open Quantum Materials Database.

Cell: 4.619 4.619 4.619 Å, 60.00 60.00 60.00°
Fractional coordinates of all 4 atoms:
Na  0.000  0.000  0.000
Al  0.750  0.750  0.750
Sb  0.250  0.250  0.250
Ir  0.500  0.500  0.500

Properties
Space group: No. 216
Density: 8.674 g cm⁻³

b) First-principles (GGA-PBE) data for a relaxed NaAlSbIr crystal, as listed in the Open Quantum Materials Database.

Cell: 4.679 4.679 4.679 Å, 60.00 60.00 60.00°
Fractional coordinates of all 4 atoms:
Na  0.000  0.000  0.000
Al  0.500  0.500  0.500
Sb  0.250  0.250  0.250
Ir  0.750  0.750  0.750

Properties
Space group: No. 216
Density: 8.342 g cm⁻³

Which structure loses on stability? b) does.

a) First-principles (GGA-PBE) data for a relaxed AlPIrO crystal, as listed in the Open Quantum Materials Database.

Cell: 3.908 3.908 7.480 Å, 90.00 90.00 90.00°
Fractional coordinates of all 8 atoms:
Al  0.250  0.750  0.000
Al  0.750  0.250  0.000
P  0.250  0.250  0.196
P  0.750  0.750  0.804
Ir  0.250  0.250  0.612
Ir  0.750  0.750  0.388
O  0.250  0.750  0.500
O  0.750  0.250  0.500

Properties
Space group: No. 129
Density: 7.740 g cm⁻³

b) First-principles (GGA-PBE) data for a relaxed AlPIrO crystal, as listed in the Open Quantum Materials Database.

Cell: 3.155 7.802 4.736 Å, 90.00 90.00 90.00°
Fractional coordinates of all 8 atoms:
Al  0.000  0.121  0.000
Al  0.000  0.879  0.500
P  0.500  0.325  0.834
P  0.500  0.675  0.334
Ir  0.500  0.391  0.353
Ir  0.500  0.609  0.853
O  0.000  0.083  0.358
O  0.000  0.917  0.858

Properties
Space group: No. 26
Density: 7.584 g cm⁻³

c) First-principles (GGA-PBE) data for a relaxed AlPIrO crystal, as listed in the Open Quantum Materials Database.

Cell: 3.826 3.826 8.509 Å, 90.00 90.00 90.00°
Fractional coordinates of all 8 atoms:
Al  0.250  0.250  0.072
Al  0.750  0.750  0.928
P  0.250  0.250  0.345
P  0.750  0.750  0.655
Ir  0.250  0.750  0.500
Ir  0.750  0.250  0.500
O  0.250  0.750  0.000
O  0.750  0.250  0.000

Properties
Space group: No. 129
Density: 7.097 g cm⁻³

d) First-principles (GGA-PBE) data for a relaxed AlPIrO crystal, as listed in the Open Quantum Materials Database.

Cell: 3.797 3.797 7.189 Å, 90.00 90.00 90.00°
Fractional coordinates of all 8 atoms:
Al  0.250  0.750  0.000
Al  0.750  0.250  0.000
P  0.250  0.250  0.359
P  0.750  0.750  0.641
Ir  0.250  0.250  0.777
Ir  0.750  0.750  0.223
O  0.250  0.750  0.500
O  0.750  0.250  0.500

Properties
Space group: No. 129
Density: 8.529 g cm⁻³

Which structure loses on stability? a) does.